[1]
A geometry-optimized SrAc2Pd structure, computed with PBE.

```
4
Lattice="-2.980 1.524 1.984 -2.455 -2.377 -1.861 1.274 -7.066 7.344" Properties=species:S:1:pos:R:3 pbc="T T T"
Ac 1.052 -5.835 6.065
Ac 0.222 -1.231 1.279
Sr -2.080 -3.960 3.733
Pd -2.717 -0.426 0.061
```

Properties
- E above lowest polymorph: 79.1 meV per atom
- Space group: No. 123
- ΔE_f: -305 meV per atom
- Spin magnetization: 0.00 μB per atom
- VASP energy: -16.313 eV per cell

***

[2]
A geometry-optimized PuAg2Pd2 structure, computed with PBE.

```
10
Lattice="7.910 0.000 0.000 0.000 7.910 0.000 0.000 0.000 3.045" Properties=species:S:1:pos:R:3 pbc="T T T"
Pd 1.325 2.630 0.000
Pd 2.630 6.585 0.000
Pd 6.585 5.280 0.000
Pd 5.280 1.325 0.000
Ag 4.974 6.891 1.523
Ag 1.019 4.974 1.523
Ag 2.936 1.019 1.523
Ag 6.891 2.936 1.523
Pu 3.955 3.955 0.000
Pu 0.000 0.000 0.000
```

Properties
- E above lowest polymorph: 0.0 meV per atom
- Space group: No. 127
- ΔE_f: -162 meV per atom
- Spin magnetization: 1.12 μB per atom
- VASP energy: -62.463 eV per cell

***

[3]
A geometry-optimized Tl2Cd2Ga structure, computed with PBE.

```
5
Lattice="-0.583 -0.438 3.245 -1.903 -1.855 -2.297 7.817 -9.948 0.059" Properties=species:S:1:pos:R:3 pbc="T T T"
Tl 1.004 -5.627 1.125
Tl 4.327 -6.613 -0.117
Cd 4.883 -9.736 -0.439
Cd 0.449 -2.505 1.447
Ga 0.000 0.000 0.000
```

Properties
- E above lowest polymorph: 0.0 meV per atom
- Space group: No. 12
- ΔE_f: 54 meV per atom
- Spin magnetization: 0.00 μB per atom
- VASP energy: -9.318 eV per cell

***

[4]
A geometry-optimized La2MgSi3Ir4 structure, computed with PBE.

```
10
Lattice="-1.399 3.321 -2.127 -2.431 1.052 3.240 7.754 5.789 3.938" Properties=species:S:1:pos:R:3 pbc="T T T"
Si -0.268 1.233 2.101
Si 6.107 6.742 2.393
Si 3.877 2.895 1.969
Ir 1.544 2.586 3.021
Ir 0.000 0.000 0.000
Ir 4.295 5.389 1.473
Ir -1.915 2.186 0.556
La 4.604 4.871 4.575
La 1.235 3.105 -0.081
Mg 1.962 5.081 2.525
```

Properties
- Space group: No. 115
- Spin magnetization: 0.00 μB per atom
- VASP energy: -72.410 eV per cell
- Energy relative to the elements, uncorrected: -0.92 eV per atom

***

[5]
A geometry-optimized CdPdPt4 structure, computed with PBE.

```
12
Lattice="5.740 -2.549 -3.463 -5.032 7.352 -3.350 -1.090 -1.084 9.393" Properties=species:S:1:pos:R:3 pbc="T T T"
Pt -5.505 5.841 4.752
Pt 0.723 0.719 1.070
Pt -1.105 -0.107 5.979
Pt 1.355 -0.685 3.194
Pt -0.536 3.545 -3.195
Pt 3.263 0.150 -1.727
Pt -2.305 3.860 4.086
Pt 2.586 1.550 -3.839
Pd -0.468 1.598 3.623
Pd 1.426 2.412 -1.264
Cd -2.427 5.792 -2.711
Cd 3.385 -1.781 5.071
```

Properties
- E above lowest polymorph: 0.0 meV per atom
- Space group: No. 63
- ΔE_f: -84 meV per atom
- Spin magnetization: 0.00 μB per atom
- VASP energy: -61.546 eV per cell

***

[6]
A geometry-optimized CdMo2Au structure, computed with PBE.

```
4
Lattice="-2.709 -0.060 -0.509 -0.333 -1.861 2.006 -1.265 6.636 5.948" Properties=species:S:1:pos:R:3 pbc="T T T"
Cd -2.469 4.017 5.209
Mo -0.624 3.276 2.936
Mo -0.008 0.043 0.038
Au -1.837 0.699 2.235
```

Properties
- Space group: No. 123
- ΔE_f: 355 meV per atom
- Spin magnetization: 0.00 μB per atom
- VASP energy: -24.436 eV per cell

***

> Which of these has the highest VASP energy?

Tl2Cd2Ga

***

> VASP energy of number 4 (La2MgSi3Ir4)?

-72.410 eV per cell